GGA-PBE FeTeMo, optimized geometry; M_tot = 2.4 μB per cell; crystal system = tetragonal; energy above the lowest structure with this stoichiometry = 231 meV per atom; energy relative to the elements, uncorrected = 0.404 eV per atom
1.0
-2.300 1.224 4.350
0.625 -0.206 5.028
1.178 2.918 1.073
Mo Te Fe
1 1 1
direct
0.341 0.341 0.659
0.664 0.664 0.336
0.995 0.995 0.005